# 1
Here is BaMg2Zn4 after structural relaxation from Alexandria. Energies are from PBE-GGA.

abc: 4.435 3.889 9.985
angles: 101.23 102.83 90.00
Fractional coordinates of all 7 atoms:
Ba1 0.500 0.000 0.000
Mg1 0.801 0.801 0.602
Mg2 0.199 0.199 0.398
Zn1 0.656 0.656 0.311
Zn2 0.344 0.344 0.689
Zn3 0.089 0.589 0.177
Zn4 0.911 0.411 0.823

Energy relative to the elements   -0.535 eV per formula unit
SG   No. 71
N(E_F)   3.84 states/eV/f.u.
Magnetic moment   0.0 μB/cell
Energy   -10.7 eV/f.u.

---

# 2
Here is NiAgPb2 after structural relaxation from Alexandria. Energies are from PBE-GGA.

abc: 4.568 4.568 6.313
angles: 76.72 76.72 45.08
Fractional coordinates of all 4 atoms:
Ag1 0.250 0.250 0.250
Ni1 0.750 0.750 0.750
Pb1 0.016 0.016 0.968
Pb2 0.484 0.484 0.532

Energy relative to the elements   1.058 eV per formula unit
SG   No. 12
N(E_F)   1.70 states/eV/f.u.
Magnetic moment   0.0 μB/cell
Energy   -15.0 eV/f.u.

---

# 3
Here is MnSn6Pd12 after structural relaxation from Alexandria. Energies are from PBE-GGA.

abc: 7.441 7.441 7.441
angles: 107.17 107.17 107.17
Fractional coordinates of all 19 atoms:
Mn1 0.000 0.000 0.000
Sn1 0.785 0.907 0.535
Sn2 0.465 0.215 0.093
Sn3 0.093 0.465 0.215
Sn4 0.215 0.093 0.465
Sn5 0.535 0.785 0.907
Sn6 0.907 0.535 0.785
Pd1 0.817 0.515 0.397
Pd2 0.397 0.817 0.515
Pd3 0.515 0.397 0.817
Pd4 0.183 0.485 0.603
Pd5 0.603 0.183 0.485
Pd6 0.485 0.603 0.183
Pd7 0.890 0.725 0.155
Pd8 0.275 0.845 0.110
Pd9 0.845 0.110 0.275
Pd10 0.110 0.275 0.845
Pd11 0.725 0.155 0.890
Pd12 0.155 0.890 0.725

Energy relative to the elements   -8.040 eV per formula unit
SG   No. 148
N(E_F)   7.67 states/eV/f.u.
Magnetic moment   3.8 μB/cell
Energy   -103.5 eV/f.u.

---

# 4
Here is PaNi4Mo after structural relaxation from Alexandria. Energies are from PBE-GGA.

abc: 4.909 4.909 4.909
angles: 60.00 60.00 60.00
Fractional coordinates of all 6 atoms:
Ni1 0.624 0.624 0.128
Ni2 0.624 0.128 0.624
Ni3 0.624 0.624 0.624
Ni4 0.128 0.624 0.624
Mo1 0.250 0.250 0.250
Pa1 0.000 0.000 0.000

Energy relative to the elements   -0.946 eV per formula unit
SG   No. 216
N(E_F)   7.92 states/eV/f.u.
Magnetic moment   2.8 μB/cell
Energy   -44.4 eV/f.u.